No. 1
Computed, not measured: crystalline LaScBr at its relaxed geometry at the PBE level of DFT.

a = 3.6298 Å, b = 3.6298 Å, c = 7.4339 Å
α = 90.00°, β = 90.00°, γ = 120.00°
Closest atoms and distances in Å follow each position.
Sites, in units of the cell vectors:
La (0.0000, 0.0000, 0.9282)  3 Br 3.42, 3 Sc 3.43, 6 La 3.63
Sc (0.3333, 0.6667, 0.2929)  3 Br 2.91
Br (0.6667, 0.3333, 0.5644)  3 Sc 2.91

- N(E_F) (states/eV/atom) = 1.153
- density (g/cm3) = 5.2
- raw formation energy (meV/atom) = -682.2
- distance to the lowest polymorph of the same formula (meV/atom) = 37.9

=====

No. 2
Computed, not measured: crystalline LaSc2Br at its relaxed geometry at the PBE level of DFT.

a = 5.9151 Å, b = 5.9151 Å, c = 5.9151 Å
α = 133.08°, β = 133.08°, γ = 68.53°
Closest atoms and distances in Å follow each position.
Sites, in units of the cell vectors:
Br (0.5000, 0.5000, 0.0000)  8 Sc 3.33-3.39, 4 La 3.39
La (0.7500, 0.2500, 0.5000)  8 Sc 3.33-3.39, 4 Br 3.39
Sc (0.0000, 0.0000, 0.0000)  4 Br 3.33, 4 Sc 3.39, 4 La 3.39
Sc (0.2500, 0.7500, 0.5000)  4 La 3.33, 4 Sc 3.39, 4 Br 3.39

- N(E_F) (states/eV/atom) = 1.845
- density (g/cm3) = 4.7
- raw formation energy (meV/atom) = -26.9
- distance to the lowest polymorph of the same formula (meV/atom) = 439.0

=====

No. 3
Computed, not measured: crystalline La2ScBr at its relaxed geometry at the PBE level of DFT.

a = 6.3868 Å, b = 6.3868 Å, c = 6.3868 Å
α = 137.45°, β = 137.45°, γ = 61.75°
Closest atoms and distances in Å follow each position.
Sites, in units of the cell vectors:
Br (0.7500, 0.2500, 0.5000)  8 La 3.28-3.59, 4 Sc 3.59
La (0.0000, 0.0000, 0.0000)  4 Sc 3.28, 4 Br 3.59, 4 La 3.59
La (0.2500, 0.7500, 0.5000)  4 Br 3.28, 4 La 3.59, 4 Sc 3.59
Sc (0.5000, 0.5000, 0.0000)  8 La 3.28-3.59, 4 Br 3.59

- N(E_F) (states/eV/atom) = 1.661
- density (g/cm3) = 5.7
- raw formation energy (meV/atom) = -153.3
- distance to the lowest polymorph of the same formula (meV/atom) = 358.0

=====

No. 4
Computed, not measured: crystalline La2ScBr at its relaxed geometry at the PBE level of DFT.

a = 6.8808 Å, b = 6.8808 Å, c = 6.8808 Å
α = 150.14°, β = 130.10°, γ = 59.25°
Closest atoms and distances in Å follow each position.
Sites, in units of the cell vectors:
Br (0.2500, 0.7500, 0.5000)  4 La 3.17, 4 Sc 3.40, 2 Br 3.55
La (0.0302, 0.0302, 0.0000)  2 Br 3.17, 6 La 3.48-3.55
La (0.4698, 0.4698, 0.0000)  2 Br 3.17, 6 La 3.48-3.55
Sc (0.7500, 0.2500, 0.5000)  4 Br 3.40, 2 Sc 3.55, 4 La 3.79

- N(E_F) (states/eV/atom) = 1.201
- density (g/cm3) = 5.4
- raw formation energy (meV/atom) = -240.6
- distance to the lowest polymorph of the same formula (meV/atom) = 270.7

=====

No. 5
Computed, not measured: crystalline LaSc2Br at its relaxed geometry at the PBE level of DFT.

a = 5.9226 Å, b = 5.9226 Å, c = 5.9609 Å
α = 76.20°, β = 76.20°, γ = 33.19°
Closest atoms and distances in Å follow each position.
Sites, in units of the cell vectors:
Br (0.4624, 0.4624, 0.5197)  4 Sc 2.89-3.05
La (0.2296, 0.2296, 0.2940)  3 Br 3.25-3.44, 4 Sc 3.35-3.57, 2 La 3.38
Sc (0.0332, 0.0332, 0.8924)  2 Br 3.05, 5 Sc 3.13-3.38
Sc (0.7748, 0.7748, 0.7939)  2 Br 2.89, 3 Sc 3.13-3.15

- N(E_F) (states/eV/atom) = 1.236
- density (g/cm3) = 4.6
- raw formation energy (meV/atom) = -264.3
- distance to the lowest polymorph of the same formula (meV/atom) = 201.6

=====

No. 6
Computed, not measured: crystalline LaSc2Br at its relaxed geometry at the PBE level of DFT.

a = 10.8650 Å, b = 10.8650 Å, c = 10.8650 Å
α = 18.93°, β = 18.93°, γ = 18.93°
Closest atoms and distances in Å follow each position.
Sites, in units of the cell vectors:
Sc (0.9185, 0.9185, 0.9185)  1 Br 2.61
Sc (0.0815, 0.0815, 0.0815)  1 Br 2.61
Br (0.0000, 0.0000, 0.0000)  2 Sc 2.61
La (0.5000, 0.5000, 0.5000)  6 Sc 3.42, 6 La 3.57

- N(E_F) (states/eV/atom) = 1.366
- density (g/cm3) = 4.3
- raw formation energy (meV/atom) = -278.4
- distance to the lowest polymorph of the same formula (meV/atom) = 187.5

=====

No. 7
Computed, not measured: crystalline LaScBr at its relaxed geometry at the PBE level of DFT.

a = 3.6324 Å, b = 3.6316 Å, c = 14.7844 Å
α = 83.01°, β = 90.01°, γ = 59.99°
Closest atoms and distances in Å follow each position.
Sites, in units of the cell vectors:
Sc (0.4396, 0.9923, 0.6339)  3 Br 2.89-2.90, 3 Sc 3.15-3.16
Sc (0.1594, 0.5530, 0.7949)  3 Br 2.90, 3 Sc 3.15-3.16
La (0.3379, 0.1951, 0.3258)  3 Br 3.27, 6 La 3.63
La (0.6015, 0.6677, 0.1153)  3 Br 3.39-3.41, 9 La 3.63-3.73
Br (0.7279, 0.4155, 0.4975)  3 Sc 2.89-2.90
Br (0.8715, 0.1289, 0.9322)  3 Sc 2.90

- N(E_F) (states/eV/atom) = 1.308
- density (g/cm3) = 5.2
- raw formation energy (meV/atom) = -716.8
- distance to the lowest polymorph of the same formula (meV/atom) = 3.4

=====

No. 8
Computed, not measured: crystalline La2ScBr at its relaxed geometry at the PBE level of DFT.

a = 3.5778 Å, b = 6.0217 Å, c = 5.5520 Å
α = 90.00°, β = 90.00°, γ = 90.00°
Closest atoms and distances in Å follow each position.
Sites, in units of the cell vectors:
Br (0.0000, 0.5000, 0.5000)  4 La 3.30, 4 Sc 3.50, 2 Br 3.58
La (0.0000, 0.0000, 0.0000)  4 Sc 3.30, 6 La 3.50-3.58
La (0.5000, 0.5000, 0.0000)  4 Br 3.30, 6 La 3.50-3.58
Sc (0.5000, 0.0000, 0.5000)  4 La 3.30, 4 Br 3.50, 2 Sc 3.58

- N(E_F) (states/eV/atom) = 1.355
- density (g/cm3) = 5.6
- raw formation energy (meV/atom) = -216.1
- distance to the lowest polymorph of the same formula (meV/atom) = 295.1

=====

No. 9
Computed, not measured: crystalline LaSc2Br at its relaxed geometry at the PBE level of DFT.

a = 6.6809 Å, b = 6.6809 Å, c = 6.6809 Å
α = 141.81°, β = 141.81°, γ = 55.11°
Closest atoms and distances in Å follow each position.
Sites, in units of the cell vectors:
Br (0.2500, 0.7500, 0.5000)  4 La 3.09
La (0.7500, 0.2500, 0.5000)  4 Br 3.09
Sc (0.0000, 0.0000, 0.0000)  4 Sc 3.09
Sc (0.5000, 0.5000, 0.0000)  4 Sc 3.09

- N(E_F) (states/eV/atom) = 1.365
- density (g/cm3) = 4.5
- raw formation energy (meV/atom) = -104.4
- distance to the lowest polymorph of the same formula (meV/atom) = 361.5

=====

No. 10
Computed, not measured: crystalline LaSc2Br at its relaxed geometry at the PBE level of DFT.

a = 3.4634 Å, b = 3.4634 Å, c = 10.0424 Å
α = 90.00°, β = 90.00°, γ = 117.67°
Closest atoms and distances in Å follow each position.
Sites, in units of the cell vectors:
Br (0.5000, 0.5000, 0.2500)  4 Sc 2.86
La (0.5000, 0.5000, 0.7500)  4 Sc 3.32, 6 La 3.46-3.58
Sc (0.0000, 0.0000, 0.0282)  2 Br 2.86
Sc (0.0000, 0.0000, 0.4718)  2 Br 2.86

- N(E_F) (states/eV/atom) = 1.721
- density (g/cm3) = 4.8
- raw formation energy (meV/atom) = -300.8
- distance to the lowest polymorph of the same formula (meV/atom) = 165.1

=====

No. 11
Computed, not measured: crystalline LaSc2Br at its relaxed geometry at the PBE level of DFT.

a = 10.2793 Å, b = 10.2793 Å, c = 10.2793 Å
α = 19.76°, β = 19.76°, γ = 19.76°
Closest atoms and distances in Å follow each position.
Sites, in units of the cell vectors:
Br (0.5102, 0.5102, 0.5102)  3 Sc 2.88
La (0.7536, 0.7536, 0.7536)  3 Br 3.40, 3 Sc 3.52, 6 La 3.53
Sc (0.9921, 0.9921, 0.9921)  9 Sc 3.19-3.53, 3 La 3.52
Sc (0.2441, 0.2441, 0.2441)  3 Br 2.88, 3 Sc 3.19

- N(E_F) (states/eV/atom) = 1.285
- density (g/cm3) = 4.7
- raw formation energy (meV/atom) = -465.9
- distance to the lowest polymorph of the same formula (meV/atom) = 0.0

=====

No. 12
Computed, not measured: crystalline La2ScBr at its relaxed geometry at the PBE level of DFT.

a = 10.6308 Å, b = 10.6308 Å, c = 10.6308 Å
α = 20.22°, β = 20.22°, γ = 20.22°
Closest atoms and distances in Å follow each position.
Sites, in units of the cell vectors:
Br (0.7500, 0.7500, 0.7500)  6 La 3.29
La (0.0039, 0.0039, 0.0039)  3 Br 3.29, 3 Sc 3.47
La (0.4961, 0.4961, 0.4961)  3 Br 3.29, 3 Sc 3.47
Sc (0.2500, 0.2500, 0.2500)  6 La 3.47, 6 Sc 3.73

- N(E_F) (states/eV/atom) = 1.230
- density (g/cm3) = 5.3
- raw formation energy (meV/atom) = -511.3
- distance to the lowest polymorph of the same formula (meV/atom) = 0.0